1.
The following is a DFT calculation (PBEsol) of crystalline CrTc2Sb at its relaxed geometry.

Cell and atoms, written as POSCAR:
```
CrTc2Sb
1.0
-0.384 2.806 -1.156
0.660 -1.060 -2.792
-6.070 -1.230 -0.969
Cr Sb Tc
1 1 2
Cartesian
-2.955 -0.599 -0.472
-4.352 -0.037 -2.691
-0.053 -0.011 -0.008
-1.470 0.547 -2.231
```

Output
- total magnetization (μB per formula unit) = 0.00
- theoretical density (Mg/m³) = 10.47
- symmetry = No. 99

2.
The following is a DFT calculation (PBEsol) of crystalline CrSbTe at its relaxed geometry.

Cell and atoms, written as POSCAR:
```
CrSbTe
1.0
-4.697 1.472 0.089
-3.609 -3.313 0.490
-2.574 -0.234 4.190
Sb Te Cr
1 1 1
Cartesian
-2.720 -0.519 1.192
0.000 0.000 0.000
-5.440 -1.037 2.385
```

Output
- total magnetization (μB per formula unit) = 4.18
- theoretical density (Mg/m³) = 5.93
- symmetry = No. 216

3.
The following is a DFT calculation (PBEsol) of crystalline CrSbTe2 at its relaxed geometry.

Cell and atoms, written as POSCAR:
```
CrSbTe2
1.0
3.787 0.000 0.000
-1.893 4.613 -0.431
0.000 -1.868 6.282
Cr Sb Te
1 1 2
Cartesian
0.000 3.061 3.517
0.000 0.416 3.787
0.000 -1.557 5.889
1.893 2.634 1.648
```

Output
- total magnetization (μB per formula unit) = 2.51
- theoretical density (Mg/m³) = 6.68
- excess energy over the best structure of this formula in the dataset (eV per atom) = 0.000
- symmetry = No. 8

4.
The following is a DFT calculation (PBEsol) of crystalline CrSbTe2 at its relaxed geometry.

Cell and atoms, written as POSCAR:
```
CrSbTe2
1.0
-4.990 -1.233 0.440
1.645 -1.279 -4.719
-0.606 -5.070 -0.734
Cr Sb Te
1 1 2
Cartesian
-1.672 -1.256 -2.139
0.000 0.000 0.000
0.520 -3.175 -2.726
-2.798 -3.151 -0.147
```

Output
- total magnetization (μB per formula unit) = 3.92
- theoretical density (Mg/m³) = 6.74
- excess energy over the best structure of this formula in the dataset (eV per atom) = 0.125
- symmetry = No. 139

Which formation energy without anion corrections belongs to each record? In order, 0.26 0.80 0.08 0.21 eV/atom.
Which total energy belongs to each record? In order, -36.276 -15.916 -21.518 -21.019 eV per cell.